No. 1
The following is a DFT calculation (PBE) of a relaxed structure of CaFe2W.

Cell lengths 4.128, 5.780, 5.780 Å; angles 30.86, 90.00, 90.00 degrees
Fractional coordinates of all 4 atoms:
Ca 0.000 0.000 0.000
Fe 0.000 0.744 0.744
Fe 0.500 0.629 0.629
W 0.500 0.290 0.290

- DFT formation energy (eV/atom) = 0.591
- space-group type = Amm2, No. 38

---

No. 2
The following is a DFT calculation (PBE) of a relaxed structure of Ca2YFe.

Cell lengths 6.526, 6.526, 6.526 Å; angles 147.92, 126.55, 63.72 degrees
Fractional coordinates of all 4 atoms:
Ca 0.000 0.000 0.000
Ca 0.692 0.192 0.500
Y 0.382 0.382 0.000
Fe 0.205 0.705 0.500

- DFT formation energy (eV/atom) = 0.318
- space-group type = Imm2, No. 44

---

No. 3
The following is a DFT calculation (PBE) of a relaxed structure of CaY2Fe.

Cell lengths 4.945, 4.945, 4.410 Å; angles 90.00, 90.00, 90.00 degrees
Fractional coordinates of all 4 atoms:
Ca 0.000 0.000 0.000
Y 0.000 0.500 0.500
Y 0.500 0.000 0.500
Fe 0.500 0.500 0.000

- DFT formation energy (eV/atom) = 0.404
- space-group type = P4/mmm, No. 123

---

No. 4
The following is a DFT calculation (PBE) of a relaxed structure of Ca2YFe.

Cell lengths 5.278, 5.278, 5.278 Å; angles 60.00, 60.00, 60.00 degrees
Fractional coordinates of all 4 atoms:
Ca 0.250 0.250 0.250
Ca 0.750 0.750 0.750
Y 0.000 0.000 0.000
Fe 0.500 0.500 0.500

- DFT formation energy (eV/atom) = 0.743
- space-group type = Fm-3m, No. 225

---

No. 5
The following is a DFT calculation (PBE) of a relaxed structure of CaY2Fe.

Cell lengths 6.515, 6.515, 6.515 Å; angles 148.41, 131.24, 59.27 degrees
Fractional coordinates of all 4 atoms:
Ca 0.000 0.000 0.000
Y 0.386 0.386 0.000
Y 0.694 0.194 0.500
Fe 0.208 0.708 0.500

- DFT formation energy (eV/atom) = 0.265
- space-group type = Imm2, No. 44

---

No. 6
The following is a DFT calculation (PBE) of a relaxed structure of CaY2Fe.

Cell lengths 6.023, 6.023, 6.023 Å; angles 134.73, 134.73, 65.94 degrees
Fractional coordinates of all 4 atoms:
Ca 0.000 0.000 0.000
Y 0.500 0.500 0.000
Y 0.750 0.250 0.500
Fe 0.250 0.750 0.500

- DFT formation energy (eV/atom) = 0.443
- space-group type = I-4m2, No. 119

---

No. 7
The following is a DFT calculation (PBE) of a relaxed structure of CaY2Fe.

Cell lengths 5.335, 5.335, 5.335 Å; angles 60.00, 60.00, 60.00 degrees
Fractional coordinates of all 4 atoms:
Ca 0.000 0.000 0.000
Y 0.250 0.250 0.250
Y 0.500 0.500 0.500
Fe 0.750 0.750 0.750

- DFT formation energy (eV/atom) = 0.510
- space-group type = F-43m, No. 216

---

No. 8
The following is a DFT calculation (PBE) of a relaxed structure of CaY2Fe.

Cell lengths 9.981, 9.981, 9.981 Å; angles 21.86, 21.86, 21.86 degrees
Fractional coordinates of all 4 atoms:
Ca 0.000 0.000 0.000
Y 0.221 0.221 0.221
Y 0.779 0.779 0.779
Fe 0.500 0.500 0.500

- DFT formation energy (eV/atom) = 0.206
- space-group type = R-3m, No. 166

---

No. 9
The following is a DFT calculation (PBE) of a relaxed structure of CaY2Fe.

Cell lengths 3.735, 8.103, 8.103 Å; angles 28.97, 90.00, 90.00 degrees
Fractional coordinates of all 4 atoms:
Ca 0.000 0.000 0.000
Y 0.000 0.312 0.312
Y 0.500 0.673 0.673
Fe 0.500 0.841 0.841

- DFT formation energy (eV/atom) = 0.240
- space-group type = Amm2, No. 38

---

No. 10
The following is a DFT calculation (PBE) of a relaxed structure of Ca2YFe.

Cell lengths 10.397, 10.397, 10.397 Å; angles 20.79, 20.79, 20.79 degrees
Fractional coordinates of all 4 atoms:
Ca 0.000 0.000 0.000
Ca 0.224 0.224 0.224
Y 0.772 0.772 0.772
Fe 0.494 0.494 0.494

- DFT formation energy (eV/atom) = 0.321
- space-group type = R3m, No. 160

---

No. 11
The following is a DFT calculation (PBE) of a relaxed structure of CaY2Fe.

Cell lengths 3.392, 3.392, 9.543 Å; angles 90.00, 90.00, 90.09 degrees
Fractional coordinates of all 4 atoms:
Ca 0.000 0.000 0.000
Y 0.500 0.500 0.332
Y 0.500 0.500 0.668
Fe 0.000 0.000 0.500

- DFT formation energy (eV/atom) = 0.096
- space-group type = Cmmm, No. 65

---

No. 12
The following is a DFT calculation (PBE) of a relaxed structure of Ca2YFe.

Cell lengths 3.447, 3.447, 9.733 Å; angles 90.00, 90.00, 90.10 degrees
Fractional coordinates of all 4 atoms:
Ca 0.000 0.000 0.196
Ca 0.000 0.000 0.804
Y 0.500 0.500 0.500
Fe 0.500 0.500 0.000

- DFT formation energy (eV/atom) = 0.413
- space-group type = Cmmm, No. 65

---

| no. | mass density (g/cm³) | uncorrected energy (eV/atom) | relative energy among the computed polymorphs (eV/atom) |
| --- | --- | --- | --- |
| 1 | 7.88 | -7.3789 | 0.244 |
| 2 | 3.18 | -4.4147 | 0.115 |
| 3 | 4.21 | -5.4436 | 0.308 |
| 4 | 3.59 | -3.9898 | 0.540 |
| 5 | 4.21 | -5.5834 | 0.168 |
| 6 | 4.19 | -5.4052 | 0.347 |
| 7 | 4.23 | -5.3381 | 0.414 |
| 8 | 3.76 | -5.6422 | 0.110 |
| 9 | 3.83 | -5.6077 | 0.144 |
| 10 | 3.01 | -4.4114 | 0.118 |
| 11 | 4.14 | -5.7519 | 0.000 |
| 12 | 3.23 | -4.3196 | 0.210 |